First-principles (PBE) data for an optimized crystal structure of ErMg5Au6, as listed in Alexandria via LeMat-Bulk.

Cell: 4.743 6.770 7.426 Å, 90.00 107.43 90.00°
Space group P2/m (No. 10)
One atom of each set of equivalent atoms:
Er (0.000, 0.000, 0.000) [1 per cell]
Mg (0.000, 0.500, 0.000) [1 per cell]
Mg (0.328, 0.000, 0.659) [2 per cell]
Mg (0.331, 0.500, 0.672) [2 per cell]
Au (0.176, 0.259, 0.340) [4 per cell]
Au (0.500, 0.260, 0.000) [2 per cell]

N(E_F) = 3.0 states/eV/f.u.
formation energy = -0.653 eV/atom